Entry 1:
Here is Cu3P after structural relaxation from Alexandria via LeMat-Bulk. Energies are from PBE.

Summary:
uncorrected energy = -4.42 eV/atom
formation energy from the elements = 7.2 meV/atom
total moment = 0.0 Bohr magnetons per cell

Structure (CIF):
```
data_Cu3P
_chemical_formula_sum 'Cu6 P2'
_space_group_name_H-M_alt 'P -3 m 1'
_space_group_IT_number 164
_space_group_name_Hall '-P 3 2"'
_cell_length_a 4.0382
_cell_length_b 4.0382
_cell_length_c 7.3675
_cell_angle_alpha 90.00
_cell_angle_beta 90.00
_cell_angle_gamma 120.00
loop_
_atom_site_label
_atom_site_type_symbol
_atom_site_fract_x
_atom_site_fract_y
_atom_site_fract_z
Cu1 Cu 0.0000 0.0000 0.1845
Cu2 Cu 0.3333 0.6667 0.6222
Cu3 Cu 0.3333 0.6667 0.9773
P1 P 0.3333 0.6667 0.2952
```

Entry 2:
Here is LaSm2Dy2Y2 after structural relaxation from Alexandria via LeMat-Bulk. Energies are from PBE.

Summary:
uncorrected energy = -5.12 eV/atom
formation energy from the elements = 93.8 meV/atom
total moment = 0.0 Bohr magnetons per cell

Structure (CIF):
```
data_LaSm2Dy2Y2
_chemical_formula_sum 'La2 Sm4 Dy4 Y4'
_space_group_name_H-M_alt 'C 1 2/m 1'
_space_group_IT_number 12
_cell_length_a 11.830
_cell_length_b 3.542
_cell_length_c 11.880
_cell_angle_alpha 90.00
_cell_angle_beta 108.37
_cell_angle_gamma 90.00
loop_
_space_group_symop_operation_xyz
'x,y,z'
'-x,-y,-z'
'-x,y,-z'
'x,-y,z'
'x+1/2,y+1/2,z'
'-x+1/2,-y+1/2,-z'
'-x+1/2,y+1/2,-z'
'x+1/2,-y+1/2,z'
loop_
_atom_site_label
_atom_site_type_symbol
_atom_site_fract_x
_atom_site_fract_y
_atom_site_fract_z
La1 La 0.000 0.000 0.000
Sm1 Sm 0.172 0.500 0.584
Dy1 Dy 0.225 0.000 0.860
Y1 Y 0.050 0.500 0.275
```

Entry 3:
Here is Na3Sr2Hg6 after structural relaxation from Alexandria via LeMat-Bulk. Energies are from PBE.

Summary:
uncorrected energy = -1.13 eV/atom
formation energy from the elements = -294.9 meV/atom
total moment = 0.0 Bohr magnetons per cell

Structure (CIF):
```
data_Na3Sr2Hg6
_chemical_formula_sum 'Na6 Sr4 Hg12'
_space_group_name_H-M_alt 'C m m m'
_space_group_IT_number 65
_space_group_name_Hall '-C 2 2'
_cell_length_a 10.616
_cell_length_b 14.960
_cell_length_c 4.293
_cell_angle_alpha 90.00
_cell_angle_beta 90.00
_cell_angle_gamma 90.00
loop_
_atom_site_label
_atom_site_type_symbol
_atom_site_fract_x
_atom_site_fract_y
_atom_site_fract_z
Na1 Na 0.000 0.000 0.000
Na2 Na 0.000 0.227 0.500
Sr1 Sr 0.194 0.500 0.500
Hg1 Hg 0.000 0.386 0.000
Hg2 Hg 0.210 0.156 0.000
```

Entry 4:
Here is LaP2W after structural relaxation from Alexandria via LeMat-Bulk. Energies are from PBE.

Summary:
uncorrected energy = -7.39 eV/atom
formation energy from the elements = -217.5 meV/atom
total moment = 0.0 Bohr magnetons per cell

Structure (CIF):
```
data_LaP2W
_chemical_formula_sum 'La1 P2 W1'
_space_group_name_H-M_alt 'P 4 m m'
_space_group_IT_number 99
_cell_length_a 3.497
_cell_length_b 3.497
_cell_length_c 7.055
_cell_angle_alpha 90.00
_cell_angle_beta 90.00
_cell_angle_gamma 90.00
loop_
_space_group_symop_operation_xyz
'x,y,z'
'-y,x,z'
'-x,-y,z'
'y,-x,z'
'-x,y,z'
'y,x,z'
'x,-y,z'
'-y,-x,z'
loop_
_atom_site_label
_atom_site_type_symbol
_atom_site_fract_x
_atom_site_fract_y
_atom_site_fract_z
La1 La 0.000 0.000 0.000
P1 P 0.000 0.000 0.582
P2 P 0.500 0.500 0.212
W1 W 0.500 0.500 0.542
```

Entry 5:
Here is BeTlSnCl2 after structural relaxation from Alexandria via LeMat-Bulk. Energies are from PBE.

Summary:
formation energy without anion corrections = -0.21 eV per atom
uncorrected energy = -2.96 eV/atom
total moment = 0.0 Bohr magnetons per cell

Structure (CIF):
```
data_BeTlSnCl2
_chemical_formula_sum 'Be1 Tl1 Sn1 Cl2'
_space_group_name_H-M_alt 'P 4/m m m'
_space_group_IT_number 123
_space_group_name_Hall '-P 4 2'
_cell_length_a 4.288
_cell_length_b 4.288
_cell_length_c 9.340
_cell_angle_alpha 90.00
_cell_angle_beta 90.00
_cell_angle_gamma 90.00
loop_
_atom_site_label
_atom_site_type_symbol
_atom_site_fract_x
_atom_site_fract_y
_atom_site_fract_z
Be1 Be 0.000 0.000 0.000
Tl1 Tl 0.000 0.000 0.500
Sn1 Sn 0.500 0.500 0.500
Cl1 Cl 0.000 0.500 0.000
```

Entry 6:
Here is SrCaSmNbO6 after structural relaxation from Alexandria via LeMat-Bulk. Energies are from PBE.

Summary:
formation energy without anion corrections = -2.84 eV per atom
uncorrected energy = -7.66 eV/atom
total moment = 0.0 Bohr magnetons per cell

Structure (CIF):
```
data_SrCaSmNbO6
_chemical_formula_sum 'Sr4 Ca4 Sm4 Nb4 O24'
_space_group_name_H-M_alt 'F -4 3 m'
_space_group_IT_number 216
_space_group_name_Hall 'F -4 2 3'
_cell_length_a 8.523
_cell_length_b 8.523
_cell_length_c 8.523
_cell_angle_alpha 90.00
_cell_angle_beta 90.00
_cell_angle_gamma 90.00
loop_
_atom_site_label
_atom_site_type_symbol
_atom_site_fract_x
_atom_site_fract_y
_atom_site_fract_z
Sr1 Sr 0.000 0.000 0.000
Ca1 Ca 0.000 0.000 0.500
Sm1 Sm 0.250 0.250 0.250
Nb1 Nb 0.250 0.250 0.750
O1 O 0.015 0.250 0.750
```